# CuNiS2

Crystalline CuNiS2 at its relaxed geometry (GGA-PBE, the Alexandria database).

Cell lengths 10.244, 10.244, 3.820 Å; angles 90.00, 90.00, 162.62 degrees
Element x y z (fractional)
S: 0.793 0.207 0.750
S: 0.207 0.793 0.250
S: 0.910 0.090 0.250
Ni: 0.316 0.684 0.250
S: 0.090 0.910 0.750
Ni: 0.684 0.316 0.750
Cu: 0.036 0.964 0.250
Cu: 0.964 0.036 0.750

Calculated values
Space-group type   Cmcm, No. 63
Density of states at the Fermi level   0.62 states/eV/atom
Uncorrected formation energy   -1 meV/atom

---

# CuNiS2

Crystalline CuNiS2 at its relaxed geometry (GGA-PBE, the Alexandria database).

Cell lengths 5.568, 6.511, 6.511 Å; angles 75.88, 117.08, 62.92 degrees
Element x y z (fractional)
S: 0.745 0.915 0.853
Cu: 0.750 0.994 0.494
Ni: 0.250 0.738 0.238
S: 0.245 0.647 0.585
S: 0.255 0.085 0.147
Cu: 0.250 0.006 0.506
S: 0.755 0.353 0.415
Ni: 0.750 0.262 0.762

Calculated values
Space-group type   C2/c, No. 15
Density of states at the Fermi level   1.00 states/eV/atom
Uncorrected formation energy   -147 meV/atom

---

# CuNi5S8

Crystalline CuNi5S8 at its relaxed geometry (GGA-PBE, the Alexandria database).

Cell lengths 6.731, 6.731, 6.731 Å; angles 60.00, 60.00, 60.00 degrees
Element x y z (fractional)
Cu: 0.250 0.250 0.250
Ni: 0.124 0.625 0.625
S: 0.866 0.866 0.402
S: 0.841 0.386 0.386
S: 0.866 0.402 0.866
S: 0.386 0.841 0.386
S: 0.386 0.386 0.386
Ni: 0.625 0.625 0.124
Ni: 0.625 0.625 0.625
Ni: 0.000 0.000 0.000
S: 0.402 0.866 0.866
S: 0.866 0.866 0.866
Ni: 0.625 0.124 0.625
S: 0.386 0.386 0.841

Calculated values
Space-group type   F-43m, No. 216
Density of states at the Fermi level   0.61 states/eV/atom
Uncorrected formation energy   -332 meV/atom

---

Q: Among the records above, which one has the highest density of states at the Fermi level?
A: number 2